Record 1
A plane-wave DFT calculation with GGA-PBE was carried out for KCaHgSe2 after structural relaxation.

raw formation energy: -461 kJ/mol of formula units
space-group type: No. 13
energy: -3.0297 eV per atom

The structure in extended XYZ format:
```
10
Lattice="-0.769 5.111 -2.322 -7.110 -0.365 1.552 2.442 3.467 6.822" Properties=species:S:1:pos:R:3 pbc="T T T"
K -3.628 5.226 0.418
K -1.809 2.986 5.635
Hg 0.000 0.000 0.000
Hg 1.221 1.733 3.411
Se -1.123 5.044 2.520
Se -4.314 3.168 3.533
Se -3.321 6.412 6.258
Se -2.117 1.801 -0.205
Ca 0.235 3.361 0.573
Ca 1.438 5.217 3.928
```

=====

Record 2
A plane-wave DFT calculation with GGA-PBE was carried out for CaHoZnAu after structural relaxation.

excess energy over the best structure of this formula in the dataset: 0 meV per atom
energy of formation from the pure elements: -2.27 eV per formula unit
space-group type: No. 99
energy: -3.3510 eV per atom

The structure in extended XYZ format:
```
4
Lattice="3.629 0.000 0.000 0.000 3.629 0.000 0.000 0.000 7.170" Properties=species:S:1:pos:R:3 pbc="T T T"
Ca 1.814 1.814 0.772
Ho 1.814 1.814 4.372
Zn 0.000 0.000 2.699
Au 0.000 0.000 5.979
```

=====

Record 3
A plane-wave DFT calculation with GGA-PBE was carried out for Na2TlPd2 after structural relaxation.

excess energy over the best structure of this formula in the dataset: 6 meV per atom
energy of formation from the pure elements: -0.84 eV per formula unit
space-group type: No. 164
energy: -3.2464 eV per atom

The structure in extended XYZ format:
```
5
Lattice="-3.360 -1.454 -2.984 0.673 -2.271 4.087 -3.936 3.628 2.664" Properties=species:S:1:pos:R:3 pbc="T T T"
Pd -5.572 1.552 1.780
Pd -1.052 -1.648 1.987
Tl 0.000 0.000 0.000
Na -3.145 0.282 3.404
Na -3.478 -0.378 0.363
```

=====

Record 4
A plane-wave DFT calculation with GGA-PBE was carried out for Na2LiAlHg6 after structural relaxation.

energy of formation from the pure elements: -1.14 eV per formula unit
space-group type: No. 2
energy: -1.1245 eV per atom

The structure in extended XYZ format:
```
10
Lattice="7.249 -0.100 -0.149 0.023 6.984 -0.698 3.498 3.053 4.744" Properties=species:S:1:pos:R:3 pbc="T T T"
Hg 2.799 2.774 2.108
Hg 7.971 7.163 1.789
Hg 4.654 5.467 4.249
Hg 5.291 1.602 0.675
Hg 5.479 8.334 3.221
Hg 6.116 4.469 -0.353
Na 3.649 6.180 1.279
Na 7.121 3.756 2.617
Li 3.636 3.442 -0.424
Al 0.000 0.000 0.000
```

=====

Record 5
A plane-wave DFT calculation with GGA-PBE was carried out for Mn2InGa2 after structural relaxation.

excess energy over the best structure of this formula in the dataset: 94 meV per atom
energy of formation from the pure elements: 0.87 eV per formula unit
space-group type: No. 139
energy: -5.2515 eV per atom

The structure in extended XYZ format:
```
5
Lattice="3.687 0.000 0.000 0.000 3.687 0.000 1.844 1.844 6.023" Properties=species:S:1:pos:R:3 pbc="T T T"
Mn 3.687 3.687 4.839
Mn 1.844 1.844 1.184
In 0.000 0.000 0.000
Ga 1.844 3.687 3.011
Ga 3.687 1.844 3.011
```

=====

Record 6
A plane-wave DFT calculation with GGA-PBE was carried out for RhWIN2 after structural relaxation.

excess energy over the best structure of this formula in the dataset: 0 meV per atom
raw formation energy: 380 kJ/mol of formula units
space-group type: No. 123
energy: -6.9142 eV per atom

The structure in extended XYZ format:
```
5
Lattice="3.897 0.000 0.000 0.000 5.860 0.000 0.000 0.000 3.897" Properties=species:S:1:pos:R:3 pbc="T T T"
Rh 1.949 2.930 1.949
N 0.000 0.000 1.949
N 1.949 0.000 0.000
I 0.000 2.930 0.000
W 0.000 0.000 0.000
```

=====

Number 1: magnetization 0.000 μB/atom. Number 2: magnetization 0.000 μB/atom. Number 3: magnetization 0.000 μB/atom. Number 4: magnetization 0.000 μB/atom. Number 5: magnetization 0.924 μB/atom. Number 6: magnetization 0.173 μB/atom.